A plane-wave DFT calculation with PBE was carried out for a relaxed PrNpBe crystal.

## Properties
Theoretical density: 8427 kg/m3
Offset from the most stable computed form: 0.0 meV/atom
E: -6.3561 eV per atom
Total magnetization: 4.456 μB/cell

The structure in extended XYZ format:
```
3
Lattice="3.803 1.352 2.523 -0.138 4.022 2.542 -0.107 -0.193 4.755" Properties=species:S:1:pos:R:3 pbc="T T T"
Pr 2.668 3.886 7.365
Be 0.000 0.000 0.000
Np 0.889 1.295 2.455
```